Material: Sc2TaCd
Method: DFT, meta-GGA SCAN
State: single point on PBEsol structure

Summary:
- DFT total energy (eV/cell) = -125.1
- ΔE_f (eV/atom) = 0.0932
- crystal system = orthorhombic
- magnetization (μB per formula unit) = 0.00

a = 3.1123 Å, b = 4.2905 Å, c = 6.0818 Å
α = 90.00°, β = 90.00°, γ = 90.00°
Space group Pmm2 (No. 25)
One atom of each set of equivalent atoms:
Sc 0.0000 0.0000 0.0000
Sc 0.5000 0.5000 0.2747
Ta 0.0000 0.0000 0.4892
Cd 0.5000 0.5000 0.7547

---

Material: Sc3TcPt
Method: DFT, meta-GGA SCAN
State: single point on PBEsol structure

Summary:
- DFT total energy (eV/cell) = -147.6
- ΔE_f (eV/atom) = 0.0717
- crystal system = cubic
- magnetization (μB per formula unit) = 0.00

a = 4.7709 Å, b = 4.7709 Å, c = 4.7709 Å
α = 90.00°, β = 90.00°, γ = 90.00°
Space group Pm-3m (No. 221)
One atom of each set of equivalent atoms:
Sc 0.0000 0.0000 0.5000
Tc 0.0000 0.0000 0.0000
Pt 0.5000 0.5000 0.5000

---

Material: LaInPb2
Method: DFT, meta-GGA SCAN
State: single point on PBEsol structure

Summary:
- DFT total energy (eV/cell) = -686.6
- ΔE_f (eV/atom) = -0.2013
- crystal system = trigonal
- magnetization (μB per formula unit) = 0.00

a = 3.6135 Å, b = 3.6135 Å, c = 30.9626 Å
α = 90.00°, β = 90.00°, γ = 120.00°
Space group R-3m (No. 166, hexagonal axes)
One atom of each set of equivalent atoms:
La 0.0000 0.0000 0.0000
In 0.0000 0.0000 0.5000
Pb 0.0000 0.0000 0.2444

---

Material: Tc2IrBr
Method: DFT, meta-GGA SCAN
State: single point on PBEsol structure

Summary:
- DFT total energy (eV/cell) = -158.0
- crystal system = tetragonal
- magnetization (μB per formula unit) = 0.00
- energy relative to the lowest polymorph listed for this composition (eV per atom) = 0.000

a = 2.8250 Å, b = 2.8250 Å, c = 7.4129 Å
α = 90.00°, β = 90.00°, γ = 90.00°
Space group P4/mmm (No. 123)
One atom of each set of equivalent atoms:
Tc 0.0000 0.0000 0.2454
Ir 0.5000 0.5000 0.0000
Br 0.5000 0.5000 0.5000

---

Material: Li4Cu3BiP4O16
Method: DFT, meta-GGA SCAN
State: single point on PBEsol structure

Summary:
- DFT total energy (eV/cell) = -332.7
- crystal system = monoclinic
- magnetization (μB per formula unit) = 2.00

a = 4.7794 Å, b = 6.2627 Å, c = 10.2129 Å
α = 90.00°, β = 92.32°, γ = 90.00°
Space group Pm (No. 6)
One atom of each set of equivalent atoms:
Li 0.0000 0.2449 0.0000
Li 0.4593 0.2476 0.5779
Cu 0.0269 0.0000 0.7522
Cu 0.5201 0.5000 0.8294
Cu 0.8707 0.5000 0.3420
Bi 0.4210 0.0000 0.2536
P 0.0269 0.5000 0.6425
P 0.3433 0.5000 0.1320
P 0.5592 0.0000 0.9328
P 0.8802 0.0000 0.4644
O 0.1241 0.5000 0.4984
O 0.1633 0.3005 0.7100
O 0.1865 0.3010 0.1848
O 0.2011 0.0000 0.4700
O 0.2344 0.0000 0.9334
O 0.2727 0.5000 0.9816
O 0.6551 0.5000 0.1691
O 0.6790 0.2013 0.8679
O 0.6907 0.0000 0.0766
O 0.7025 0.5000 0.6487
O 0.7509 0.1954 0.3866
O 0.7537 0.0000 0.6013

---

Material: SrCr2SiB
Method: DFT, meta-GGA SCAN
State: single point on PBEsol structure

Summary:
- DFT total energy (eV/cell) = -70.9
- crystal system = tetragonal
- magnetization (μB per formula unit) = 5.76

a = 4.5138 Å, b = 4.5138 Å, c = 5.7430 Å
α = 90.00°, β = 90.00°, γ = 90.00°
Space group P4/mmm (No. 123)
One atom of each set of equivalent atoms:
Sr 0.0000 0.0000 0.0000
Cr 0.0000 0.5000 0.5000
Si 0.0000 0.0000 0.5000
B 0.5000 0.5000 0.0000

---

Q: Look up the DFT total energy of the second one.
A: -147.6 eV/cell

---

Q: Which of these has the highest magnetization?
A: SrCr2SiB

---

Q: What is the formula in the first record?
A: Sc2TaCd

---

What did the sixth record say?
Material: SrCr2SiB
Method: DFT, meta-GGA SCAN
State: single point on PBEsol structure

Summary:
- DFT total energy (eV/cell) = -70.9
- crystal system = tetragonal
- magnetization (μB per formula unit) = 5.76

a = 4.5138 Å, b = 4.5138 Å, c = 5.7430 Å
α = 90.00°, β = 90.00°, γ = 90.00°
Space group P4/mmm (No. 123)
One atom of each set of equivalent atoms:
Sr 0.0000 0.0000 0.0000
Cr 0.0000 0.5000 0.5000
Si 0.0000 0.0000 0.5000
B 0.5000 0.5000 0.0000